{
  "formula": "TaBe9Al2",
  "functional": "GGA-PBE",
  "state": "optimized geometry",
  "sg": "R-3m",
  "dft_energy_ev_per_cell": -54.126,
  "delta_e_f_mev_per_atom": -104.3,
  "total_magnetization_mub_per_atom": 0.000,
  "lattice": [[2.2228, 1.2833, 6.9184], [-2.2228, 1.2833, 6.9184], [0.0000, -2.5667, 6.9184]],
  "species": ["Ta", "Be", "Be", "Be", "Be", "Be", "Be", "Be", "Be", "Be", "Al", "Al"],
  "fractional_positions": [[0.0000, 0.0000, 0.0000], [0.0831, 0.5789, 0.5789], [0.3319, 0.3319, 0.3319], [0.4211, 0.4211, 0.9169], [0.4211, 0.9169, 0.4211], [0.5000, 0.5000, 0.5000], [0.5789, 0.0831, 0.5789], [0.5789, 0.5789, 0.0831], [0.6681, 0.6681, 0.6681], [0.9169, 0.4211, 0.4211], [0.1387, 0.1387, 0.1387], [0.8613, 0.8613, 0.8613]]
}